Rb2Na2N, PBEsol geometry, DFT SCAN; DFT total energy = -11.256 eV/atom; D(E_F) = 3.08 states/eV/f.u.; total magnetic moment = 0.32 μB/atom
1.0
4.071 0.000 0.000
0.000 4.071 0.000
-2.035 -2.035 11.161
Na Rb N
2 2 1
Cartesian
2.035 0.000 5.581
0.000 2.035 5.581
2.035 2.035 1.602
0.000 0.000 9.559
0.000 0.000 0.000



RbNa2N, PBEsol geometry, DFT SCAN; DFT total energy = -9.226 eV/atom; D(E_F) = 3.11 states/eV/f.u.; total magnetic moment = 0.03 μB/atom
1.0
-2.250 -5.856 -3.304
-0.557 0.361 7.346
-6.419 0.834 2.894
N Rb Na
2 2 4
Cartesian
-4.335 -2.511 -0.205
-2.446 -1.075 3.571
0.000 0.000 0.000
-6.780 -3.586 3.366
-3.669 -1.612 5.356
-3.390 -1.793 1.683
-4.515 -4.721 0.031
-6.878 -1.195 6.803



NaReN2, PBEsol geometry, DFT SCAN; DFT total energy = -23.662 eV/atom; D(E_F) = 1.40 states/eV/f.u.; total magnetic moment = 0.00 μB/atom
1.0
-0.629 -2.644 -4.259
1.030 -4.269 2.498
-4.796 2.935 1.884
N Re Na
4 2 2
Cartesian
-3.237 -2.574 0.578
-1.431 -3.462 -2.773
-0.467 -3.712 1.513
-3.657 1.792 0.927
-1.783 -2.396 1.750
0.000 0.000 0.000
-2.613 -1.583 -1.628
0.200 -3.457 -0.881



Na3Re2N5, PBEsol geometry, DFT SCAN; DFT total energy = -20.403 eV/atom; total magnetic moment = 0.00 μB/atom
1.0
-8.551 -0.537 0.156
-3.711 -8.074 4.114
-4.386 3.769 7.902
N Re Na
20 8 12
Cartesian
-2.697 -0.848 3.784
-3.824 -3.824 3.502
-4.940 1.532 6.697
-9.781 -1.146 7.451
-13.673 -4.954 8.030
-12.768 -3.821 10.671
-4.497 -5.921 5.343
-6.432 -3.733 5.277
-9.659 -3.871 4.772
-5.465 -0.045 4.187
-7.464 -2.922 10.639
-7.170 -6.444 6.368
-12.494 -0.997 8.664
-11.015 -3.810 8.335
-6.582 -0.880 6.829
-7.693 1.714 5.772
-10.257 -1.933 10.370
-4.521 -1.061 1.512
-7.700 -1.826 1.506
-1.785 -2.620 1.718
-4.075 -0.001 2.836
-10.909 -3.262 3.710
-12.241 -4.820 9.330
-6.198 0.480 5.790
-5.843 -5.032 6.298
-10.906 -1.904 8.556
-4.322 -5.684 3.444
-13.218 0.786 8.744
-4.664 -2.191 6.019
-8.236 0.517 8.305
-7.950 -5.329 3.858
-8.826 -4.486 9.447
-2.753 -0.173 0.050
-11.316 -0.022 6.002
-6.393 -0.402 0.117
-9.203 -0.442 2.750
-5.921 -1.940 9.047
-8.304 -2.420 6.086
-10.988 -5.175 6.273
-5.989 -2.604 3.039



Na3ReN, PBEsol geometry, DFT SCAN; DFT total energy = -17.174 eV/atom; D(E_F) = 2.84 states/eV/f.u.; total magnetic moment = 1.00 μB/atom
1.0
-3.897 -1.756 1.957
2.273 -4.008 0.930
1.321 1.717 4.172
Na N Re
3 1 1
Cartesian
1.137 -2.004 0.465
-1.949 -0.878 0.978
0.660 0.859 2.086
0.000 0.000 0.000
-0.151 -2.023 3.529



NaRhSeN2, PBEsol geometry, DFT SCAN; DFT total energy = -14.717 eV/atom; D(E_F) = 3.85 states/eV/f.u.; total magnetic moment = 0.13 μB/atom
1.0
3.791 0.000 0.000
0.000 3.791 0.000
0.000 0.000 5.346
Se N Na Rh
1 2 1 1
Cartesian
0.000 0.000 2.673
1.896 0.000 0.000
0.000 1.896 0.000
1.896 1.896 2.673
0.000 0.000 0.000



NaTe2RhN, PBEsol geometry, DFT SCAN; DFT total energy = -22.844 eV/atom; D(E_F) = 4.07 states/eV/f.u.; total magnetic moment = 0.52 μB/atom
1.0
-2.207 -3.065 -1.005
2.436 -2.939 3.615
-3.591 1.415 3.570
Te Rh N Na
2 1 1 1
Cartesian
1.218 -1.469 1.808
-1.795 0.708 1.785
-1.681 -2.294 3.090
-1.104 -1.533 -0.502
0.000 0.000 0.000



NaSeS2N, PBEsol geometry, DFT SCAN; DFT total energy = -10.003 eV/atom; D(E_F) = 2.41 states/eV/f.u.; total magnetic moment = 0.37 μB/atom
1.0
-1.380 -3.578 -0.311
4.505 -1.660 -0.893
0.696 -0.685 4.785
N S Na Se
1 2 1 1
Cartesian
-0.690 -1.789 -0.156
2.252 -0.830 -0.446
0.348 -0.342 2.392
1.910 -2.962 1.790
0.000 0.000 0.000



NaSnSN2, PBEsol geometry, DFT SCAN; DFT total energy = -13.016 eV/atom; D(E_F) = 0.62 states/eV/f.u.; total magnetic moment = 0.60 μB/atom
1.0
-1.724 0.623 -3.771
-2.862 -2.952 0.821
-3.104 3.569 2.009
S N Na Sn
1 2 1 1
Cartesian
-1.552 1.784 1.004
-1.431 -1.476 0.411
-0.862 0.311 -1.885
-3.845 0.620 -0.471
0.000 0.000 0.000



NaTeSN2, PBEsol geometry, DFT SCAN; DFT total energy = -12.226 eV/atom; D(E_F) = 2.33 states/eV/f.u.; total magnetic moment = 1.14 μB/atom
1.0
-3.729 -1.971 -0.627
1.466 -1.606 -3.669
1.748 -4.099 2.492
Na N S Te
1 2 1 1
Cartesian
0.000 0.000 0.000
0.733 -0.803 -1.834
-1.864 -0.986 -0.313
0.874 -2.049 1.246
-0.258 -3.838 -0.902



NaTiSN2, PBEsol geometry, DFT SCAN; DFT total energy = -8.287 eV/atom; D(E_F) = 1.98 states/eV/f.u.; total magnetic moment = 0.60 μB/atom
1.0
-2.795 2.787 -0.589
-2.648 -2.239 1.975
1.245 2.106 4.057
Na S N Ti
1 1 2 1
Cartesian
0.000 0.000 0.000
0.623 1.053 2.028
-1.324 -1.119 0.987
-1.397 1.393 -0.294
-2.099 1.327 2.721



NaTiSN2, PBEsol geometry, DFT SCAN; DFT total energy = -9.954 eV/atom; D(E_F) = 1.34 states/eV/f.u.; total magnetic moment = 0.60 μB/atom
1.0
-0.503 3.754 1.175
-3.123 0.339 -2.419
-2.890 -1.490 3.523
Ti N Na S
1 2 1 1
Cartesian
0.000 0.000 0.000
-1.562 0.169 -1.210
-0.251 1.877 0.587
-3.258 1.301 1.139
-1.445 -0.745 1.761



Na2ZrSN, PBEsol geometry, DFT SCAN; DFT total energy = -10.528 eV/atom; D(E_F) = 5.71 states/eV/f.u.; total magnetic moment = 0.00 μB/atom
1.0
-0.301 3.300 -0.570
-5.814 -0.725 -1.132
-1.234 0.884 5.771
N Na S Zr
1 2 1 1
Cartesian
-0.150 1.650 -0.285
-0.617 0.442 2.885
-2.907 -0.363 -0.566
0.000 0.000 0.000
-3.674 1.729 2.034



NaSb2N, PBEsol geometry, DFT SCAN; DFT total energy = -21.592 eV/atom; D(E_F) = 1.31 states/eV/f.u.; total magnetic moment = 0.00 μB/atom
1.0
6.159 0.036 0.060
-2.139 5.776 -0.060
-2.139 -2.816 5.043
Sb N Na
4 2 2
Cartesian
1.900 0.834 2.438
-1.089 2.901 3.850
4.129 2.679 0.653
-1.179 -0.424 3.144
-2.139 1.480 2.491
0.940 -0.650 3.797
0.940 3.645 1.246
0.000 0.000 0.000



NaSb2TeN, PBEsol geometry, DFT SCAN; DFT total energy = -23.447 eV/atom; D(E_F) = 3.21 states/eV/f.u.; total magnetic moment = 0.59 μB/atom
1.0
-4.956 -1.672 -1.055
1.271 -0.511 -5.157
1.525 -5.075 0.879
Na Sb Te N
1 2 1 1
Cartesian
0.000 0.000 0.000
0.635 -0.256 -2.578
-2.478 -0.836 -0.528
0.763 -2.538 0.440
-1.080 -3.629 -2.666



NaSbTe2N, PBEsol geometry, DFT SCAN; DFT total energy = -24.061 eV/atom; D(E_F) = 2.69 states/eV/f.u.; total magnetic moment = 0.61 μB/atom
1.0
4.199 0.000 0.000
0.000 5.520 0.000
0.000 0.000 5.520
Na Te Sb N
1 2 1 1
Cartesian
0.000 0.000 0.000
0.000 2.760 0.000
0.000 0.000 2.760
2.099 2.760 2.760
2.099 0.000 0.000



Na3ScN, PBEsol geometry, DFT SCAN; DFT total energy = -6.551 eV/atom; D(E_F) = 3.06 states/eV/f.u.; total magnetic moment = 0.20 μB/atom
1.0
-4.297 1.477 -1.570
-1.878 -0.846 4.344
1.059 4.496 1.333
Na N Sc
3 1 1
Cartesian
-2.149 0.739 -0.785
-0.939 -0.423 2.172
0.529 2.248 0.667
0.000 0.000 0.000
-2.558 2.564 2.054



NaScN2, PBEsol geometry, DFT SCAN; DFT total energy = -9.369 eV/atom; D(E_F) = 0.49 states/eV/f.u.; total magnetic moment = 0.00 μB/atom
1.0
-1.895 4.159 0.420
-4.171 -1.849 -0.499
2.634 -1.984 6.443
Na Sc N
2 2 4
Cartesian
-3.033 1.155 -0.040
-1.147 1.665 3.412
0.000 0.000 0.000
-2.285 -1.339 2.952
-3.409 -1.197 1.267
-2.460 -0.330 4.706
-0.962 -1.066 1.436
-2.309 -2.763 4.401



NaSeN3, PBEsol geometry, DFT SCAN; DFT total energy = -7.749 eV/atom; D(E_F) = 1.98 states/eV/f.u.; total magnetic moment = 1.22 μB/atom
1.0
4.237 0.000 0.000
0.000 4.237 0.000
0.000 0.000 4.237
Se N Na
1 3 1
Cartesian
2.118 2.118 2.118
0.000 2.118 0.000
0.000 0.000 2.118
2.118 0.000 0.000
0.000 0.000 0.000



NaTcSe2N, PBEsol geometry, DFT SCAN; DFT total energy = -16.272 eV/atom; D(E_F) = 1.65 states/eV/f.u.; total magnetic moment = 1.43 μB/atom
1.0
4.004 0.000 0.000
0.000 5.037 0.000
0.000 0.000 5.037
Na Se N Tc
1 2 1 1
Cartesian
0.000 0.000 0.000
0.000 2.519 0.000
0.000 0.000 2.519
2.002 0.000 0.000
2.002 2.519 2.519



NaTlSe2N, PBEsol geometry, DFT SCAN; DFT total energy = -24.593 eV/atom; D(E_F) = 3.23 states/eV/f.u.; total magnetic moment = 0.60 μB/atom
1.0
-0.064 4.241 -0.972
-4.528 0.620 3.005
3.067 1.055 4.404
Na Se Tl N
1 2 1 1
Cartesian
-0.763 2.958 3.218
1.533 0.528 2.202
-2.264 0.310 1.502
0.000 0.000 0.000
-0.032 2.120 -0.486



NaWSeN2, PBEsol geometry, DFT SCAN; DFT total energy = -22.608 eV/atom; D(E_F) = 2.83 states/eV/f.u.; total magnetic moment = 0.00 μB/atom
1.0
-1.060 3.772 0.072
-3.703 -1.055 0.728
0.948 0.170 5.064
Na N W Se
1 2 1 1
Cartesian
-1.908 1.444 2.932
-0.530 1.886 0.036
-1.852 -0.527 0.364
0.000 0.000 0.000
0.474 0.085 2.532



NaWSeN2, PBEsol geometry, DFT SCAN; DFT total energy = -21.990 eV/atom; D(E_F) = 2.07 states/eV/f.u.; total magnetic moment = 0.20 μB/atom
1.0
3.875 0.000 0.000
0.000 3.875 0.000
0.000 0.000 7.107
W Se N Na
1 1 2 1
Cartesian
0.000 0.000 0.000
1.937 1.937 3.553
1.937 0.000 0.000
0.000 1.937 0.000
0.000 0.000 3.553



NaSiTe2N, PBEsol geometry, DFT SCAN; DFT total energy = -19.796 eV/atom; D(E_F) = 2.32 states/eV/f.u.; total magnetic moment = 0.00 μB/atom
1.0
-1.005 -1.313 2.829
5.448 -0.813 1.558
0.078 5.181 2.433
Si Na Te N
1 1 2 1
Cartesian
0.000 0.000 0.000
2.261 1.527 3.410
2.724 -0.407 0.779
0.039 2.591 1.217
-0.502 -0.657 1.414



NaSiTe2N, PBEsol geometry, DFT SCAN; DFT total energy = -18.239 eV/atom; D(E_F) = 3.29 states/eV/f.u.; total magnetic moment = 0.71 μB/atom
1.0
-3.855 -0.612 1.450
-1.624 -1.548 -4.970
1.270 -5.166 1.194
Si Te N Na
1 2 1 1
Cartesian
-2.104 -3.663 -1.163
0.635 -2.583 0.597
-0.812 -0.774 -2.485
-1.927 -0.306 0.725
0.000 0.000 0.000



NaTaSn2N, PBEsol geometry, DFT SCAN; DFT total energy = -29.593 eV/atom; D(E_F) = 3.94 states/eV/f.u.; total magnetic moment = 0.27 μB/atom
1.0
-0.077 3.567 2.282
0.591 -2.460 3.864
4.580 0.389 -0.453
Sn N Ta Na
2 1 1 1
Cartesian
2.290 0.194 -0.227
0.296 -1.230 1.932
0.000 0.000 0.000
2.547 0.748 2.846
-0.038 1.783 1.141